Entry from Alexandria via LeMat-Bulk: an optimized crystal structure of Ba3Mg2Tl4 (PBE).

Energy of formation in meV per atom: -306
Total energy in eV per formula unit: -21.18
Space group: C2/m
D(E_F) in states/eV/f.u.: 8.0

Cell and atoms, written as POSCAR:
```
Ba3Mg2Tl4
1.0
5.2575 0.0000 0.0000
-2.6287 6.3846 -0.2483
0.0000 -2.9304 9.6867
Ba Mg Tl
3 2 4
direct
0.6309 0.2618 0.6885
0.0000 0.0000 0.0000
0.3691 0.7382 0.3115
0.6748 0.3496 0.3444
0.3252 0.6504 0.6556
0.7254 0.4508 0.0731
0.2746 0.5492 0.9269
0.9106 0.8213 0.5901
0.0894 0.1787 0.4099
```